Entry 1:
Below is an optimized crystal structure of Sn8PdAu5, with properties calculated at the PBE-GGA level.

Cell lengths 7.519, 7.519, 7.519 Å; angles 109.33, 109.33, 109.76 degrees
Fractional coordinates of all 14 atoms:
Sn 0.037 0.154 0.759
Sn 0.251 0.491 0.611
Sn 0.359 0.749 0.239
Sn 0.394 0.278 0.241
Sn 0.509 0.120 0.761
Sn 0.722 0.963 0.117
Sn 0.846 0.606 0.883
Sn 0.880 0.641 0.389
Pd 0.500 0.500 0.000
Au 0.141 0.009 0.366
Au 0.226 0.859 0.868
Au 0.642 0.774 0.634
Au 0.750 0.250 0.500
Au 0.991 0.358 0.132

Values from the calculation:
**Size of the total moment**: 0.0 μB per cell
**Space group**: I-4 (82)
**Electronic total energy**: -55.33 eV/f.u.
**Volume**: 23.37 Å³/atom


Entry 2:
Below is an optimized crystal structure of SnPd2Au2, with properties calculated at the PBE-GGA level.

Cell lengths 7.305, 7.305, 3.530 Å; angles 90.00, 90.00, 90.00 degrees
Fractional coordinates of all 10 atoms:
Sn 0.000 0.000 0.000
Sn 0.500 0.500 0.000
Pd 0.157 0.343 0.500
Pd 0.343 0.843 0.500
Pd 0.657 0.157 0.500
Pd 0.843 0.657 0.500
Au 0.139 0.639 0.000
Au 0.361 0.139 0.000
Au 0.639 0.861 0.000
Au 0.861 0.361 0.000

Values from the calculation:
**Size of the total moment**: 0.0 μB per cell
**Space group**: P4/mbm (127)
**Excess energy over the best structure of this formula in the dataset**: 170 meV per atom
**Electronic total energy**: -21.38 eV/f.u.
**Volume**: 18.84 Å³/atom


Entry 3:
Below is an optimized crystal structure of Sn2Pd8Au3, with properties calculated at the PBE-GGA level.

Cell lengths 10.337, 10.337, 10.337 Å; angles 29.61, 29.61, 29.61 degrees
Fractional coordinates of all 13 atoms:
Sn 0.135 0.135 0.135
Sn 0.865 0.865 0.865
Pd 0.222 0.222 0.222
Pd 0.229 0.229 0.726
Pd 0.229 0.726 0.229
Pd 0.274 0.771 0.771
Pd 0.726 0.229 0.229
Pd 0.771 0.274 0.771
Pd 0.771 0.771 0.274
Pd 0.778 0.778 0.778
Au 0.314 0.314 0.314
Au 0.500 0.500 0.500
Au 0.686 0.686 0.686

Values from the calculation:
**Size of the total moment**: 0.0 μB per cell
**Space group**: R-3m (166)
**Electronic total energy**: -59.79 eV/f.u.
**Volume**: 18.37 Å³/atom


The highest electronic total energy belongs to which entry? SnPd2Au2